! PBE-GGA VAgPd2, optimized geometry; values from VASP
&SYSTEM
  ibrav = 0, nat = 4, ntyp = 3
/
ATOMIC_SPECIES
V 50.94 V.upf
Ag 107.87 Ag.upf
Pd 106.42 Pd.upf
CELL_PARAMETERS angstrom
2.817 0.000 0.000
0.000 2.817 0.000
0.000 0.000 7.768
ATOMIC_POSITIONS crystal
V 0.000 0.000 0.000
Ag 0.000 0.000 0.500
Pd 0.500 0.500 0.227
Pd 0.500 0.500 0.773
! DOS at the Fermi energy, states/eV/atom: 1.21
! Energy, eV per atom: -5.752